Density functional theory data (PBE) for Sc3AlIn after structural relaxation.

Cell lengths 5.2817, 5.2817, 5.2817 Å; angles 90.00, 90.00, 90.00 degrees
Closest atoms and distances in Å follow each position.
Fractional positions:
1 Sc 0.0000 0.0000 0.5000  2 In 2.64
2 Sc 0.0000 0.5000 0.0000  2 In 2.64
3 Sc 0.5000 0.0000 0.0000  2 In 2.64
4 Al 0.5000 0.5000 0.5000  12 Sc 3.73
5 In 0.0000 0.0000 0.0000  6 Sc 2.64

Output
- polymorph energy (0 for the lowest one) (eV per atom) = 0.841
- DOS(E_F) (states/eV per cell) = 9.09
- energy of formation (eV per atom) = 0.49



Density functional theory data (PBE) for OsPdSe3 after structural relaxation.

Cell lengths 4.8750, 4.8750, 4.8750 Å; angles 90.00, 90.00, 90.00 degrees
Closest atoms and distances in Å follow each position.
Fractional positions:
1 Os 0.0000 0.0000 0.0000  6 Se 2.44
2 Pd 0.5000 0.5000 0.5000  12 Se 3.45
3 Se 0.0000 0.0000 0.5000  2 Os 2.44
4 Se 0.0000 0.5000 0.0000  2 Os 2.44
5 Se 0.5000 0.0000 0.0000  2 Os 2.44

Output
- polymorph energy (0 for the lowest one) (eV per atom) = 0.000
- DOS(E_F) (states/eV per cell) = 8.15
- raw formation energy (eV/atom) = 0.85



Density functional theory data (PBE) for Er2Be3Cu12Ni after structural relaxation.

Cell lengths 7.0173, 7.0173, 7.0173 Å; angles 65.88, 65.88, 65.88 degrees
Closest atoms and distances in Å follow each position.
Fractional positions:
1 Er 0.1050 0.1050 0.1050  6 Cu 2.75-2.80
2 Er 0.8950 0.8950 0.8950  6 Cu 2.75-2.80
3 Be 0.0000 0.5000 0.5000  6 Cu 2.07-2.12
4 Be 0.5000 0.0000 0.5000  6 Cu 2.07-2.12
5 Be 0.5000 0.5000 0.0000  6 Cu 2.07-2.12
6 Cu 0.1230 0.6277 0.6277  1 Be 2.07
7 Cu 0.1631 0.1631 0.6049  2 Be 2.12
8 Cu 0.1631 0.6049 0.1631  2 Be 2.12
9 Cu 0.3723 0.3723 0.8770  1 Be 2.07
10 Cu 0.3723 0.8770 0.3723  1 Be 2.07
11 Cu 0.3951 0.8369 0.8369  2 Be 2.12
12 Cu 0.6049 0.1631 0.1631  2 Be 2.12
13 Cu 0.6277 0.1230 0.6277  1 Be 2.07
14 Cu 0.6277 0.6277 0.1230  1 Be 2.07
15 Cu 0.8369 0.3951 0.8369  2 Be 2.12
16 Cu 0.8369 0.8369 0.3951  2 Be 2.12
17 Cu 0.8770 0.3723 0.3723  1 Be 2.07
18 Ni 0.5000 0.5000 0.5000  6 Cu 2.32

Output
- DOS(E_F) (states/eV per cell) = 8.11
- energy of formation (eV per atom) = 0.35



Density functional theory data (PBE) for SrReSCl2 after structural relaxation.

Cell lengths 5.4167, 5.4167, 5.9190 Å; angles 90.00, 90.00, 90.00 degrees
Closest atoms and distances in Å follow each position.
Fractional positions:
1 Sr 0.0000 0.0000 0.0000  4 Cl 2.71, 2 S 2.96
2 Re 0.5000 0.5000 0.5000  4 S 3.83, 8 Cl 4.01
3 S 0.0000 0.0000 0.5000  2 Sr 2.96
4 Cl 0.0000 0.5000 0.0000  2 Sr 2.71
5 Cl 0.5000 0.0000 0.0000  2 Sr 2.71

Output
- polymorph energy (0 for the lowest one) (eV per atom) = 0.904
- DOS(E_F) (states/eV per cell) = 3.03
- raw formation energy (eV/atom) = 0.30



Density functional theory data (PBE) for Ac2MgSb3Rh4 after structural relaxation.

Cell lengths 4.5247, 4.5247, 10.9412 Å; angles 90.00, 90.00, 90.00 degrees
Closest atoms and distances in Å follow each position.
Fractional positions:
1 Ac 0.0000 0.5000 0.2497  8 Rh 3.45-3.55, 6 Sb 3.46-3.55, 2 Mg 3.55
2 Ac 0.5000 0.0000 0.7503  8 Rh 3.45-3.55, 6 Sb 3.46-3.55, 2 Mg 3.55
3 Mg 0.0000 0.0000 0.5000  4 Rh 2.68
4 Sb 0.0000 0.5000 0.8706  5 Rh 2.61-2.67
5 Sb 0.5000 0.0000 0.1294  5 Rh 2.61-2.67
6 Sb 0.5000 0.5000 0.5000  4 Rh 2.68
7 Rh 0.0000 0.0000 0.0000  4 Sb 2.67
8 Rh 0.0000 0.5000 0.6317  3 Sb 2.61-2.68, 2 Mg 2.68
9 Rh 0.5000 0.0000 0.3683  3 Sb 2.61-2.68, 2 Mg 2.68
10 Rh 0.5000 0.5000 0.0000  4 Sb 2.67

Output
- DOS(E_F) (states/eV per cell) = 6.15
- raw formation energy (eV/atom) = -0.83



Density functional theory data (PBE) for Pm5URu4 after structural relaxation.

Cell lengths 8.9810, 8.9810, 7.2798 Å; angles 110.70, 110.70, 28.05 degrees
Closest atoms and distances in Å follow each position.
Fractional positions:
1 Pm 0.0000 0.0000 0.0000  6 Ru 3.09-3.37
2 Pm 0.3265 0.3265 0.9447  4 Ru 2.89-3.05
3 Pm 0.3348 0.3348 0.4586  3 Ru 2.90-2.96
4 Pm 0.6652 0.6652 0.5414  3 Ru 2.90-2.96
5 Pm 0.6735 0.6735 0.0553  4 Ru 2.89-3.05
6 U 0.0000 0.0000 0.5000  6 Ru 2.51-2.62
7 Ru 0.1385 0.1385 0.7756  1 U 2.51
8 Ru 0.4878 0.4878 0.2899  2 U 2.62, 1 Ru 2.93
9 Ru 0.5122 0.5122 0.7101  2 U 2.62, 1 Ru 2.93
10 Ru 0.8615 0.8615 0.2244  1 U 2.51

Output
- DOS(E_F) (states/eV per cell) = 8.54
- energy of formation (eV per atom) = -0.27



Density functional theory data (PBE) for AcZnInNi after structural relaxation.

Cell lengths 7.1027, 7.1027, 7.1027 Å; angles 90.00, 90.00, 90.00 degrees
Closest atoms and distances in Å follow each position.
Fractional positions:
1 Ac 0.0000 0.0000 0.0000  4 Ni 3.08, 4 Zn 3.08
2 Ac 0.0000 0.5000 0.5000  4 Ni 3.08, 4 Zn 3.08
3 Ac 0.5000 0.0000 0.5000  4 Ni 3.08, 4 Zn 3.08
4 Ac 0.5000 0.5000 0.0000  4 Ni 3.08, 4 Zn 3.08
5 Zn 0.2500 0.2500 0.2500  4 Ac 3.08, 4 In 3.08
6 Zn 0.2500 0.7500 0.7500  4 Ac 3.08, 4 In 3.08
7 Zn 0.7500 0.2500 0.7500  4 Ac 3.08, 4 In 3.08
8 Zn 0.7500 0.7500 0.2500  4 Ac 3.08, 4 In 3.08
9 In 0.0000 0.0000 0.5000  4 Ni 3.08, 4 Zn 3.08
10 In 0.0000 0.5000 0.0000  4 Ni 3.08, 4 Zn 3.08
11 In 0.5000 0.0000 0.0000  4 Ni 3.08, 4 Zn 3.08
12 In 0.5000 0.5000 0.5000  4 Ni 3.08, 4 Zn 3.08
13 Ni 0.2500 0.2500 0.7500  4 Ac 3.08, 4 In 3.08
14 Ni 0.2500 0.7500 0.2500  4 Ac 3.08, 4 In 3.08
15 Ni 0.7500 0.2500 0.2500  4 Ac 3.08, 4 In 3.08
16 Ni 0.7500 0.7500 0.7500  4 Ac 3.08, 4 In 3.08

Output
- DOS(E_F) (states/eV per cell) = 17.04
- energy of formation (eV per atom) = -0.17



Density functional theory data (PBE) for AcBi6Pd6 after structural relaxation.

Cell lengths 7.7071, 7.7071, 7.7071 Å; angles 134.60, 102.19, 94.97 degrees
Closest atoms and distances in Å follow each position.
Fractional positions:
1 Ac 0.0000 0.0000 0.0000  8 Bi 3.28-3.55
2 Bi 0.1754 0.6754 0.5000  6 Pd 2.92-2.94
3 Bi 0.3384 0.0000 0.3384  6 Pd 3.12-3.14, 1 Bi 3.13, 1 Ac 3.28
4 Bi 0.3411 0.3411 0.0000  6 Pd 2.99-3.05, 1 Bi 3.31
5 Bi 0.6589 0.6589 0.0000  6 Pd 2.99-3.05, 1 Bi 3.31
6 Bi 0.6616 0.0000 0.6616  6 Pd 3.12-3.14, 1 Bi 3.13, 1 Ac 3.28
7 Bi 0.8246 0.3246 0.5000  6 Pd 2.92-2.94
8 Pd 0.0000 0.0000 0.5000  6 Bi 2.94-3.12, 4 Pd 2.97-3.00
9 Pd 0.0000 0.5000 0.0000  6 Bi 2.94-3.12, 4 Pd 2.97-3.00
10 Pd 0.2356 0.5000 0.7356  6 Bi 2.92-3.14, 4 Pd 3.00
11 Pd 0.5000 0.0000 0.0000  6 Bi 2.94-3.12, 4 Pd 2.97-3.00
12 Pd 0.5000 0.5000 0.5000  6 Bi 2.94-3.12, 4 Pd 2.97-3.00
13 Pd 0.7644 0.5000 0.2644  6 Bi 2.92-3.14, 4 Pd 3.00

Output
- DOS(E_F) (states/eV per cell) = 9.36
- energy of formation (eV per atom) = -0.34



Density functional theory data (PBE) for GaRe2O after structural relaxation.

Cell lengths 4.1625, 4.1625, 14.4518 Å; angles 90.00, 90.00, 90.00 degrees
Closest atoms and distances in Å follow each position.
Fractional positions:
1 Ga 0.0000 0.0000 0.0000  4 Re 2.53
2 Ga 0.0000 0.5000 0.2500  4 Re 2.53
3 Ga 0.5000 0.0000 0.7500  4 Re 2.53
4 Ga 0.5000 0.5000 0.5000  4 Re 2.53
5 Re 0.1549 0.2500 0.6250  2 O 2.18
6 Re 0.2500 0.6549 0.8750  2 O 2.18
7 Re 0.2500 0.8451 0.3750  2 O 2.18
8 Re 0.3451 0.2500 0.1250  2 O 2.18
9 Re 0.6549 0.7500 0.1250  2 O 2.18
10 Re 0.7500 0.1549 0.3750  2 O 2.18
11 Re 0.7500 0.3451 0.8750  2 O 2.18
12 Re 0.8451 0.7500 0.6250  2 O 2.18
13 O 0.0000 0.0000 0.5000  4 Re 2.18
14 O 0.0000 0.5000 0.7500  4 Re 2.18
15 O 0.5000 0.0000 0.2500  4 Re 2.18
16 O 0.5000 0.5000 0.0000  4 Re 2.18

Output
- polymorph energy (0 for the lowest one) (eV per atom) = 0.000
- DOS(E_F) (states/eV per cell) = 9.84
- raw formation energy (eV/atom) = 0.48



Density functional theory data (PBE) for AlTe2AuN after structural relaxation.

Cell lengths 5.7007, 5.7007, 3.8298 Å; angles 90.00, 90.00, 90.00 degrees
Closest atoms and distances in Å follow each position.
Fractional positions:
1 Al 0.0000 0.0000 0.0000  8 Te 3.43, 2 Al 3.83
2 Te 0.0000 0.5000 0.5000  2 Au 2.85
3 Te 0.5000 0.0000 0.5000  2 Au 2.85
4 Au 0.5000 0.5000 0.5000  2 N 1.91
5 N 0.5000 0.5000 0.0000  2 Au 1.91

Output
- polymorph energy (0 for the lowest one) (eV per atom) = 0.564
- DOS(E_F) (states/eV per cell) = 4.47
- raw formation energy (eV/atom) = 0.92



Density functional theory data (PBE) for ZrIn2W after structural relaxation.

Cell lengths 3.0001, 4.9011, 5.5369 Å; angles 90.00, 95.80, 90.00 degrees
Closest atoms and distances in Å follow each position.
Fractional positions:
1 Zr 0.0000 0.0000 0.0000  6 In 2.87-3.17, 2 W 2.94, 2 Zr 3.00
2 In 0.5431 0.0000 0.5181  2 Zr 2.87-3.15, 4 In 2.95-3.00, 2 W 2.99
3 In 0.5737 0.5000 0.2226  3 W 2.86-3.18, 4 In 2.95-3.00, 4 Zr 3.08-3.17
4 W 0.1699 0.5000 0.7314  5 In 2.86-3.18, 2 Zr 2.94, 2 W 3.00

Output
- polymorph energy (0 for the lowest one) (eV per atom) = 0.027
- DOS(E_F) (states/eV per cell) = 2.53
- energy of formation (eV per atom) = 0.24



Density functional theory data (PBE) for Hg2Pb5Au4 after structural relaxation.

Cell lengths 9.9993, 9.9993, 8.0258 Å; angles 91.75, 91.75, 21.70 degrees
Closest atoms and distances in Å follow each position.
Fractional positions:
1 Hg 0.0584 0.0584 0.1272  3 Au 2.98-3.00, 1 Hg 3.02, 3 Pb 3.24-3.28
2 Hg 0.9416 0.9416 0.8728  3 Au 2.98-3.00, 1 Hg 3.02, 3 Pb 3.24-3.28
3 Pb 0.0000 0.0000 0.5000  4 Au 3.03, 2 Hg 3.24
4 Pb 0.3222 0.3222 0.0260  4 Au 2.92-3.10
5 Pb 0.3317 0.3317 0.4665  4 Au 2.95-3.02
6 Pb 0.6683 0.6683 0.5335  4 Au 2.95-3.02
7 Pb 0.6778 0.6778 0.9740  4 Au 2.92-3.10
8 Au 0.2012 0.2012 0.2640  6 Pb 2.95-3.10, 1 Hg 2.98
9 Au 0.4481 0.4481 0.2286  4 Pb 2.92-3.03, 2 Hg 3.00
10 Au 0.5519 0.5519 0.7714  4 Pb 2.92-3.03, 2 Hg 3.00
11 Au 0.7988 0.7988 0.7360  6 Pb 2.95-3.10, 1 Hg 2.98

Output
- DOS(E_F) (states/eV per cell) = 4.65
- energy of formation (eV per atom) = 0.02



| no. | total moment (Bohr magnetons per cell) |
| --- | --- |
| 1 | 0.00 |
| 2 | 0.15 |
| 3 | 0.00 |
| 4 | 4.99 |
| 5 | 0.00 |
| 6 | 0.00 |
| 7 | 0.00 |
| 8 | 0.00 |
| 9 | 0.00 |
| 10 | 0.98 |
| 11 | 0.00 |
| 12 | 0.00 |